CdHgTeN2 after structural relaxation, computed with GGA-PBEsol.

Cell: 4.234 4.234 6.152 Å, 90.00 90.00 90.00°
Fractional positions:
N: 0.500 0.000 0.000
N: 0.000 0.500 0.000
Hg: 0.000 0.000 0.000
Cd: 0.500 0.500 0.500
Te: 0.000 0.000 0.500

Calculated values
- D(E_F): 0.46 states/eV/atom
- E_form (uncorrected): 1635 meV/atom
- Spin magnetization: 3.3 μB per formula unit
- Mass density: 7.05 g/cm3